A relaxed structure of Co2BiBP2O10, computed with GGA+U.

Geometry as extended XYZ:
```
32
Lattice="5.117 0.000 0.000 0.000 11.387 0.000 -1.998 0.000 6.188" Properties=species:S:1:pos:R:3 pbc="T T T"
Co 0.435 1.191 0.992
Co 0.435 4.502 0.992
Co 2.684 6.885 5.196
Co 2.684 10.196 5.196
Bi 0.143 8.540 3.492
Bi 2.976 2.847 2.697
B 2.187 8.540 0.101
B 0.932 2.847 6.087
P 0.097 0.728 4.417
P 0.097 4.966 4.417
P 3.022 6.421 1.771
P 3.022 10.659 1.771
O -1.204 0.526 5.241
O -1.204 5.168 5.241
O -0.254 1.412 3.066
O -0.254 4.281 3.066
O -0.990 8.540 5.351
O 1.713 2.847 0.714
O 0.860 6.284 4.203
O 0.860 10.797 4.203
O 2.040 7.342 0.974
O 2.040 9.739 0.974
O 1.079 1.648 5.215
O 1.079 4.046 5.215
O 2.259 0.590 1.985
O 2.259 5.103 1.985
O 1.406 8.540 5.475
O 4.109 2.847 0.838
O 3.372 7.106 3.123
O 3.372 9.975 3.123
O 4.322 6.219 0.947
O 4.322 10.861 0.947
```

Results
calculated total energy: -6.962 eV per atom
size of the total moment: 12.1 Bohr magnetons per cell